A relaxed PuAlGa2Cu2 crystal, computed with PBE.

Energy of formation from the pure elements, eV/f.u.: -1.3
VASP energy, eV/cell: -33.64
D(E_F), states/eV per atom: 2.0179

Cell: 4.177 4.177 6.885 Å, 90.00 90.00 120.00°
Last column: magnetic moment on the atom in μB.
Fractional positions:
Pu: 0.000 0.000 0.000  5.20
Cu: 0.333 0.667 0.661  0.00
Cu: 0.667 0.333 0.339  0.00
Ga: 0.333 0.667 0.264  0.00
Ga: 0.667 0.333 0.736  0.00
Al: 0.000 0.000 0.500  -0.01